Entry 1:
5
Lattice="-2.3279 4.5140 -1.4549 0.2539 -1.6115 -5.4062 -4.7367 -2.2941 0.4614" Properties=species:S:1:pos:R:3 comment="Tl2GaBiPt | Alexandria | PBE-GGA | relaxed" e_form_ev_per_atom=0.1827 dos_at_fermi_per_ev_cell=2.6 magmom_total_mub_per_atom=0.000 spacegroup="P4/mmm, No. 123" pbc="T T T"
Tl -1.1639 2.2570 -0.7274
Tl -2.3684 -1.1470 0.2307
Bi 0.1269 -0.8057 -2.7031
Ga -3.4054 0.3042 -3.1999
Pt 0.0000 0.0000 0.0000

=====

Entry 2:
4
Lattice="-2.2821 -3.1384 3.1699 2.3693 -1.5455 4.1357 -1.4914 1.6278 4.4980" Properties=species:S:1:pos:R:3 comment="TbCd2Ag | Alexandria | PBE-GGA | relaxed" e_form_ev_per_atom=-0.2430 dos_at_fermi_per_ev_cell=2.2 magmom_total_mub_per_atom=0.000 spacegroup="Fm-3m, No. 225" pbc="T T T"
Tb 0.0000 0.0000 0.0000
Ag -0.7021 -1.5281 5.9018
Cd -1.0531 -2.2921 8.8527
Cd -0.3510 -0.7640 2.9509

=====

Entry 3:
14
Lattice="-5.6604 2.8859 2.7168 -3.2408 -0.7510 -6.0567 1.4901 -9.3355 4.2886" Properties=species:S:1:pos:R:3 comment="CsTa2Se4 | Alexandria | PBE-GGA | relaxed" dos_at_fermi_per_ev_cell=9.2 magmom_total_mub_per_atom=0.000 spacegroup="P1, No. 1" formation_energy_uncorrected_ev_per_atom=-0.59 pbc="T T T"
Cs -4.1738 -6.4506 6.9983
Cs -3.1002 -4.5096 -1.7185
Ta -4.8345 -1.7523 0.5500
Ta -3.0857 -4.6826 2.2472
Ta -0.7030 -5.8977 1.1029
Ta -6.1982 -2.0683 -2.0003
Se -3.0999 -6.6827 0.6442
Se -3.8741 -3.6762 4.6272
Se -6.4111 -0.0139 -0.4824
Se -5.5912 -4.0634 1.4539
Se -1.5633 -6.3387 3.4770
Se -5.3784 -0.7554 3.0014
Se -2.3972 -2.2690 1.5906
Se -3.7468 -1.3655 -1.7389